Pm4S5Cl | Alexandria via LeMat-Bulk | PBE | optimized geometry; calculated total energy = -6.02 eV per atom; formation energy from raw total energies = -1803 kJ/mol of formula units; density of states at the Fermi level = 0.078 states/eV/atom; volume = 28.61 A^3/atom; total moment = 2.0 Bohr magnetons per cell
1.0
8.718 0.000 0.000
0.000 9.553 0.000
0.000 0.000 6.870
Pm S Cl
8 10 2
Cartesian
0.210 2.388 0.228
2.180 0.137 3.565
2.180 4.639 3.565
4.149 2.388 0.228
4.569 7.165 6.642
6.539 4.914 3.305
6.539 9.416 3.305
8.508 7.165 6.642
0.099 5.214 1.689
0.099 9.115 1.689
2.180 2.388 2.104
4.260 5.214 1.689
4.260 9.115 1.689
4.458 0.438 5.181
4.458 4.338 5.181
6.539 7.165 4.766
8.619 0.438 5.181
8.619 4.338 5.181
2.180 7.165 4.994
6.539 2.388 1.876

=====

BaZn2Rh2 | Alexandria via LeMat-Bulk | PBE | optimized geometry; calculated total energy = -4.11 eV per atom; density of states at the Fermi level = 0.319 states/eV/atom; volume = 21.01 A^3/atom; ΔE_f = -0.28 eV per atom; total moment = 0.0 Bohr magnetons per cell
1.0
4.589 0.000 0.000
0.000 4.589 0.000
0.000 0.000 9.974
Ba Zn Rh
2 4 4
Cartesian
0.000 0.000 0.000
2.295 2.295 4.987
0.000 0.000 3.541
0.000 0.000 6.432
2.295 2.295 1.445
2.295 2.295 8.528
0.000 2.295 2.493
0.000 2.295 7.480
2.295 0.000 2.493
2.295 0.000 7.480

=====

La2TbDy3Ho6 | Alexandria via LeMat-Bulk | PBE | optimized geometry; calculated total energy = -4.62 eV per atom; density of states at the Fermi level = 1.325 states/eV/atom; volume = 32.12 A^3/atom; ΔE_f = 0.02 eV per atom; total moment = 0.0 Bohr magnetons per cell
1.0
3.095 -5.359 0.000
3.095 5.359 0.000
-2.058 0.000 11.619
La Tb Dy Ho
2 1 3 6
Cartesian
3.095 3.575 0.000
3.095 -3.575 0.000
3.095 0.000 0.000
-1.029 0.000 5.810
2.066 1.784 5.810
2.066 -1.784 5.810
0.004 1.781 8.666
1.044 0.000 2.955
0.004 -1.781 8.666
4.128 1.781 2.953
3.088 0.000 8.664
4.128 -1.781 2.953

=====

ZnCrFe2Sb | Alexandria via LeMat-Bulk | PBE | optimized geometry; calculated total energy = -5.40 eV per atom; formation energy from raw total energies = 479 kJ/mol of formula units; density of states at the Fermi level = 1.211 states/eV/atom; volume = 17.53 A^3/atom; total moment = 2.3 Bohr magnetons per cell
1.0
4.324 0.000 0.000
0.000 4.324 0.000
0.000 0.000 4.688
Zn Cr Fe Sb
1 1 2 1
Cartesian
0.000 0.000 0.000
0.000 0.000 2.344
0.000 2.162 2.344
2.162 0.000 2.344
2.162 2.162 0.000

=====

Ac3Zn2Sn4 | Alexandria via LeMat-Bulk | PBE | optimized geometry; calculated total energy = -4.02 eV per atom; density of states at the Fermi level = 0.423 states/eV/atom; volume = 29.86 A^3/atom; ΔE_f = -0.59 eV per atom; total moment = 0.0 Bohr magnetons per cell
1.0
6.265 -2.336 0.000
6.265 2.336 0.000
-1.726 0.000 9.182
Ac Zn Sn
3 2 4
Cartesian
0.000 0.000 0.000
3.682 0.000 3.051
7.123 0.000 6.131
3.993 0.000 6.850
6.812 0.000 2.332
0.255 0.000 3.620
1.869 0.000 8.458
8.936 0.000 0.723
10.550 0.000 5.562